DFT (GGA+U) results for crystalline LiPmVO4 at its relaxed geometry.

Lattice parameters (Å, degrees): 5.7082 5.5287 6.4364 90.00 108.26 90.00
Closest atoms and distances in Å follow each position.
Space group P2_1/m (No. 11)
One atom of each set of equivalent atoms:
Li 0.1543 0.2500 0.4565 [2 per cell]  3 O 1.96-2.09
Pm 0.2501 0.2500 0.0292 [2 per cell]  6 O 2.26-2.51
V 0.2877 0.7500 0.3361 [2 per cell]  4 O 1.78-1.85
O 0.0506 0.5125 0.2432 [4 per cell]  1 V 1.85, 1 Li 1.96
O 0.4466 0.7500 0.1276 [2 per cell]  1 V 1.84
O 0.4941 0.2500 0.3966 [2 per cell]  1 V 1.78

## Properties
Final energy ... -7.294 eV per atom